P:
First-principles (GGA-PBEsol) data for YMg2Tc after structural relaxation, as listed in the Alexandria database.

It has space group C2/m (No. 12), with a = 5.5647 Å, b = 10.3261 Å, c = 3.0042 Å, α = 90.00°, β = 112.12° and γ = 90.00°. The inequivalent atoms are Y at (0.0000, 0.0000, 0.0000), Mg at (0.2500, 0.2500, 0.5000) and Tc at (0.0000, 0.5000, 0.0000).

For the density of states at the Fermi level, the calculation gives 0.782 states/eV per atom.

=====

Q:
First-principles (GGA-PBEsol) data for YMg2Tc after structural relaxation, as listed in the Alexandria database.

It has space group Pm (No. 6), with a = 3.0649 Å, b = 4.4851 Å, c = 6.1687 Å, α = 90.00°, β = 104.37° and γ = 90.00°. The inequivalent atoms are Y at (0.0000, 0.0000, 0.0000), Mg at (0.2541, 0.0000, 0.5422), Mg at (0.6641, 0.5000, 0.3437) and Tc at (0.4124, 0.5000, 0.8039).

For the density of states at the Fermi level, the calculation gives 0.920 states/eV per atom.

=====

It turns out Q is the most stable, with the second structure 68 meV/atom higher.

=====

P:
First-principles (GGA-PBEsol) data for Mg2ZrTc after structural relaxation, as listed in the Alexandria database.

It has space group Pmmm (No. 47), with a = 2.7959 Å, b = 4.5940 Å, c = 5.5980 Å, α = 90.00°, β = 90.00° and γ = 90.00°. The inequivalent atoms are Mg at (0.0000, 0.0000, 0.2336), Zr at (0.5000, 0.5000, 0.5000) and Tc at (0.5000, 0.5000, 0.0000).

For the density of states at the Fermi level, the calculation gives 0.724 states/eV per atom.

=====

Q:
First-principles (GGA-PBEsol) data for Mg2ZrTc after structural relaxation, as listed in the Alexandria database.

It has space group P2/m (No. 10), with a = 2.8520 Å, b = 4.8128 Å, c = 5.4323 Å, α = 90.00°, β = 103.94° and γ = 90.00°. The inequivalent atoms are Mg at (0.0875, 0.0000, 0.2684), Zr at (0.5000, 0.5000, 0.0000) and Tc at (0.5000, 0.5000, 0.5000).

For the density of states at the Fermi level, the calculation gives 0.631 states/eV per atom.

=====

It turns out Q is the most stable, with the second structure 31 meV/atom higher.

=====

P:
First-principles (GGA-PBEsol) data for Mg5Te after structural relaxation, as listed in the Alexandria database.

It has space group Amm2 (No. 38), with a = 4.7106 Å, b = 4.1955 Å, c = 14.1098 Å, α = 90.00°, β = 90.00° and γ = 90.00°. The inequivalent atoms are Mg at (0.0000, 0.0000, 0.0000), Mg at (0.0000, 0.0000, 0.3280), Mg at (0.0000, 0.0000, 0.6560), Mg at (0.5000, 0.0000, 0.1586), Mg at (0.5000, 0.0000, 0.4970) and Te at (0.5000, 0.0000, 0.8276).

For the density of states at the Fermi level, the calculation gives 0.449 states/eV per atom.

=====

Q:
First-principles (GGA-PBEsol) data for Mg5Te after structural relaxation, as listed in the Alexandria database.

It has space group P6/mmm (No. 191), with a = 5.8421 Å, b = 5.8421 Å, c = 5.1328 Å, α = 90.00°, β = 90.00° and γ = 120.00°. The inequivalent atoms are Mg at (0.0000, 0.5000, 0.0000), Mg at (0.3333, 0.6667, 0.5000) and Te at (0.0000, 0.0000, 0.5000).

For the density of states at the Fermi level, the calculation gives 0.654 states/eV per atom.

=====

R:
First-principles (GGA-PBEsol) data for Mg5Te after structural relaxation, as listed in the Alexandria database.

It has space group P-62m (No. 189), with a = 5.5684 Å, b = 5.5684 Å, c = 5.2244 Å, α = 90.00°, β = 90.00° and γ = 120.00°. The inequivalent atoms are Mg at (0.0000, 0.6628, 0.0000), Mg at (0.3333, 0.6667, 0.5000) and Te at (0.0000, 0.0000, 0.5000).

For the density of states at the Fermi level, the calculation gives 0.615 states/eV per atom.

=====

It turns out P is the most stable, with the second structure 72 meV/atom higher.

=====

P:
First-principles (GGA-PBEsol) data for Mg3Te after structural relaxation, as listed in the Alexandria database.

It has space group C2/m (No. 12), with a = 10.3819 Å, b = 3.8310 Å, c = 4.9786 Å, α = 90.00°, β = 106.22° and γ = 90.00°. The inequivalent atoms are Mg at (0.0000, 0.0000, 0.0000), Mg at (0.2403, 0.0000, 0.7501) and Te at (0.0000, 0.5000, 0.5000).

For the density of states at the Fermi level, the calculation gives 0.353 states/eV per atom.

=====

Q:
First-principles (GGA-PBEsol) data for Mg3Te after structural relaxation, as listed in the Alexandria database.

It has space group I4/mmm (No. 139), with a = 4.3552 Å, b = 4.3552 Å, c = 20.0499 Å, α = 90.00°, β = 90.00° and γ = 90.00°. The inequivalent atoms are Mg at (0.0000, 0.0000, 0.1306), Mg at (0.0000, 0.5000, 0.0000), Mg at (0.0000, 0.5000, 0.2500) and Te at (0.0000, 0.0000, 0.3906).

For the density of states at the Fermi level, the calculation gives 0.397 states/eV per atom.

=====

It turns out Q is the most stable, with the second structure 12 meV/atom higher.

=====

P:
First-principles (GGA-PBEsol) data for Mg3Te after structural relaxation, as listed in the Alexandria database.

It has space group Imm2 (No. 44), with a = 3.8427 Å, b = 9.8841 Å, c = 5.0613 Å, α = 90.00°, β = 90.00° and γ = 90.00°. The inequivalent atoms are Mg at (0.0000, 0.0000, 0.0000), Mg at (0.0000, 0.2370, 0.4098) and Te at (0.0000, 0.5000, 0.0455).

For the density of states at the Fermi level, the calculation gives 0.342 states/eV per atom.

=====

Q:
First-principles (GGA-PBEsol) data for Mg3Te after structural relaxation, as listed in the Alexandria database.

It has space group P6_3/mmc (No. 194), with a = 6.4007 Å, b = 6.4007 Å, c = 5.3341 Å, α = 90.00°, β = 90.00° and γ = 120.00°. The inequivalent atoms are Mg at (0.1626, 0.3252, 0.2500) and Te at (0.3333, 0.6667, 0.7500).

For the density of states at the Fermi level, the calculation gives 0.522 states/eV per atom.

=====

It turns out P is the most stable, with the second structure 45 meV/atom higher.

=====

P:
First-principles (GGA-PBEsol) data for MgZrTe after structural relaxation, as listed in the Alexandria database.

It has space group F-43m (No. 216), with a = 6.8119 Å, b = 6.8119 Å, c = 6.8119 Å, α = 90.00°, β = 90.00° and γ = 90.00°. The inequivalent atoms are Mg at (0.0000, 0.0000, 0.0000), Zr at (0.2500, 0.2500, 0.7500) and Te at (0.0000, 0.0000, 0.5000).

For the density of states at the Fermi level, the calculation gives 1.359 states/eV per atom.

=====

Q:
First-principles (GGA-PBEsol) data for MgZrTe after structural relaxation, as listed in the Alexandria database.

It has space group P3m1 (No. 156), with a = 3.6074 Å, b = 3.6074 Å, c = 6.6679 Å, α = 90.00°, β = 90.00° and γ = 120.00°. The inequivalent atoms are Mg at (0.0000, 0.0000, 0.0000), Zr at (0.6667, 0.3333, 0.3613) and Te at (0.3333, 0.6667, 0.6522).

For the density of states at the Fermi level, the calculation gives 1.017 states/eV per atom.

=====

It turns out Q is the most stable, with the second structure 437 meV/atom higher.